Record 1
Below is crystalline LaH3O3 at its relaxed geometry, with properties calculated at the GGA-PBE level.

Values from the calculation:
E ... -87.1 eV for the cell shown
Symmetry ... No. 176
Distance to the lowest polymorph of the same formula ... 0.0 meV/atom

CIF file:
```
data_LaH3O3
_chemical_formula_sum 'La2 H6 O6'
_symmetry_space_group_name_H-M 'P 1'
_symmetry_Int_Tables_number 1
_cell_length_a 6.607
_cell_length_b 6.607
_cell_length_c 3.844
_cell_angle_alpha 90.00
_cell_angle_beta 90.00
_cell_angle_gamma 120.00
loop_
_symmetry_equiv_pos_as_xyz
'x,y,z'
loop_
_atom_site_label
_atom_site_fract_x
_atom_site_fract_y
_atom_site_fract_z
O1 0.311 0.918 0.750
O2 0.082 0.393 0.750
O3 0.607 0.689 0.750
O4 0.689 0.082 0.250
O5 0.918 0.607 0.250
O6 0.393 0.311 0.250
H1 0.278 0.144 0.250
H2 0.722 0.856 0.750
H3 0.866 0.722 0.250
H4 0.856 0.134 0.250
H5 0.134 0.278 0.750
H6 0.144 0.866 0.750
La1 0.667 0.333 0.750
La2 0.333 0.667 0.250
```

---

Record 2
Below is crystalline La4H2O at its relaxed geometry, with properties calculated at the GGA-PBE level.

Values from the calculation:
E ... -38.0 eV for the cell shown
Symmetry ... No. 139

CIF file:
```
data_La4H2O
_chemical_formula_sum 'La4 H2 O1'
_symmetry_space_group_name_H-M 'P 1'
_symmetry_Int_Tables_number 1
_cell_length_a 4.966
_cell_length_b 4.966
_cell_length_c 7.018
_cell_angle_alpha 110.72
_cell_angle_beta 110.72
_cell_angle_gamma 90.00
loop_
_symmetry_equiv_pos_as_xyz
'x,y,z'
loop_
_atom_site_label
_atom_site_fract_x
_atom_site_fract_y
_atom_site_fract_z
La1 0.769 0.769 0.539
La2 0.000 0.500 0.000
La3 0.231 0.231 0.461
La4 0.500 0.000 0.000
H1 0.422 0.422 0.843
H2 0.578 0.578 0.157
O1 0.000 0.000 0.000
```

---

Record 3
Below is crystalline LaH3O3 at its relaxed geometry, with properties calculated at the GGA-PBE level.

Values from the calculation:
E ... -172.8 eV for the cell shown
Symmetry ... No. 14
Distance to the lowest polymorph of the same formula ... 51.1 meV/atom

CIF file:
```
data_LaH3O3
_chemical_formula_sum 'La4 H12 O12'
_symmetry_space_group_name_H-M 'P 1'
_symmetry_Int_Tables_number 1
_cell_length_a 11.392
_cell_length_b 5.130
_cell_length_c 6.279
_cell_angle_alpha 82.08
_cell_angle_beta 90.00
_cell_angle_gamma 90.00
loop_
_symmetry_equiv_pos_as_xyz
'x,y,z'
loop_
_atom_site_label
_atom_site_fract_x
_atom_site_fract_y
_atom_site_fract_z
H1 0.348 0.509 0.834
H2 0.652 0.491 0.166
H3 0.204 0.320 0.922
H4 0.591 0.831 0.311
H5 0.152 0.509 0.334
H6 0.909 0.831 0.811
H7 0.704 0.680 0.578
H8 0.796 0.680 0.078
H9 0.091 0.169 0.189
H10 0.848 0.491 0.666
H11 0.409 0.169 0.689
H12 0.296 0.320 0.422
La1 0.152 0.906 0.636
La2 0.848 0.094 0.364
La3 0.652 0.094 0.864
La4 0.348 0.906 0.136
O1 0.946 0.813 0.670
O2 0.786 0.374 0.625
O3 0.714 0.374 0.125
O4 0.821 0.867 0.052
O5 0.679 0.867 0.552
O6 0.554 0.813 0.170
O7 0.321 0.133 0.448
O8 0.179 0.133 0.948
O9 0.214 0.626 0.375
O10 0.446 0.187 0.830
O11 0.054 0.187 0.330
O12 0.286 0.626 0.875
```

---

Record 4
Below is crystalline LaHO at its relaxed geometry, with properties calculated at the GGA-PBE level.

Values from the calculation:
E ... -37.9 eV for the cell shown
Symmetry ... No. 38
Distance to the lowest polymorph of the same formula ... 324.5 meV/atom

CIF file:
```
data_LaHO
_chemical_formula_sum 'La2 H2 O2'
_symmetry_space_group_name_H-M 'P 1'
_symmetry_Int_Tables_number 1
_cell_length_a 3.563
_cell_length_b 3.390
_cell_length_c 8.095
_cell_angle_alpha 90.00
_cell_angle_beta 90.00
_cell_angle_gamma 90.00
loop_
_symmetry_equiv_pos_as_xyz
'x,y,z'
loop_
_atom_site_label
_atom_site_fract_x
_atom_site_fract_y
_atom_site_fract_z
O1 0.500 0.500 0.151
O2 0.500 0.000 0.651
La1 0.000 0.500 0.607
La2 0.000 0.000 0.107
H1 0.000 0.500 0.897
H2 0.000 0.000 0.397
```

---

Record 5
Below is crystalline LaHO3 at its relaxed geometry, with properties calculated at the GGA-PBE level.

Values from the calculation:
E ... -25.0 eV for the cell shown
Symmetry ... No. 221

CIF file:
```
data_LaHO3
_chemical_formula_sum 'La1 H1 O3'
_symmetry_space_group_name_H-M 'P 1'
_symmetry_Int_Tables_number 1
_cell_length_a 4.410
_cell_length_b 4.410
_cell_length_c 4.410
_cell_angle_alpha 90.00
_cell_angle_beta 90.00
_cell_angle_gamma 90.00
loop_
_symmetry_equiv_pos_as_xyz
'x,y,z'
loop_
_atom_site_label
_atom_site_fract_x
_atom_site_fract_y
_atom_site_fract_z
O1 0.000 0.000 0.500
O2 0.000 0.500 0.000
O3 0.500 0.000 0.000
La1 0.000 0.000 0.000
H1 0.500 0.500 0.500
```

---

Record 6
Below is crystalline LaHO at its relaxed geometry, with properties calculated at the GGA-PBE level.

Values from the calculation:
E ... -34.5 eV for the cell shown
Symmetry ... No. 8
Distance to the lowest polymorph of the same formula ... 890.0 meV/atom

CIF file:
```
data_LaHO
_chemical_formula_sum 'La2 H2 O2'
_symmetry_space_group_name_H-M 'P 1'
_symmetry_Int_Tables_number 1
_cell_length_a 3.986
_cell_length_b 4.268
_cell_length_c 7.172
_cell_angle_alpha 90.00
_cell_angle_beta 104.39
_cell_angle_gamma 90.00
loop_
_symmetry_equiv_pos_as_xyz
'x,y,z'
loop_
_atom_site_label
_atom_site_fract_x
_atom_site_fract_y
_atom_site_fract_z
H1 0.630 0.500 0.919
H2 0.630 0.000 0.419
O1 0.371 0.500 0.851
O2 0.371 0.000 0.351
La1 0.309 0.500 0.507
La2 0.309 0.000 0.007
```

---

Record 7
Below is crystalline La4HO3 at its relaxed geometry, with properties calculated at the GGA-PBE level.

Values from the calculation:
E ... -55.4 eV for the cell shown
Symmetry ... No. 221

CIF file:
```
data_La4HO3
_chemical_formula_sum 'La4 H1 O3'
_symmetry_space_group_name_H-M 'P 1'
_symmetry_Int_Tables_number 1
_cell_length_a 5.184
_cell_length_b 5.184
_cell_length_c 5.184
_cell_angle_alpha 90.00
_cell_angle_beta 90.00
_cell_angle_gamma 90.00
loop_
_symmetry_equiv_pos_as_xyz
'x,y,z'
loop_
_atom_site_label
_atom_site_fract_x
_atom_site_fract_y
_atom_site_fract_z
H1 0.000 0.000 0.000
La1 0.500 0.500 0.500
La2 0.000 0.000 0.500
La3 0.500 0.000 0.000
La4 0.000 0.500 0.000
O1 0.000 0.500 0.500
O2 0.500 0.500 0.000
O3 0.500 0.000 0.500
```

---

Record 8
Below is crystalline LaHO2 at its relaxed geometry, with properties calculated at the GGA-PBE level.

Values from the calculation:
E ... -24.5 eV for the cell shown
Symmetry ... No. 225

CIF file:
```
data_LaHO2
_chemical_formula_sum 'La1 H1 O2'
_symmetry_space_group_name_H-M 'P 1'
_symmetry_Int_Tables_number 1
_cell_length_a 4.063
_cell_length_b 4.063
_cell_length_c 4.063
_cell_angle_alpha 60.00
_cell_angle_beta 60.00
_cell_angle_gamma 60.00
loop_
_symmetry_equiv_pos_as_xyz
'x,y,z'
loop_
_atom_site_label
_atom_site_fract_x
_atom_site_fract_y
_atom_site_fract_z
H1 0.000 0.000 0.000
O1 0.750 0.750 0.750
O2 0.250 0.250 0.250
La1 0.500 0.500 0.500
```